1.
VASP calculation (PBE) on a relaxed Zn3Au crystal.

POSCAR file:
```
Zn3Au
1.0
-3.0266 -0.9745 2.3641
0.0731 -3.6947 -1.4294
2.5561 -1.0482 2.8402
Zn Au
3 1
Cartesian
1.3146 -2.3715 0.7054
-0.2353 -1.0114 2.6022
-1.4768 -2.3346 0.4674
0.0000 0.0000 0.0000
```

Results
**Total DFT energy (no corrections)**: -7.53 eV for the cell shown
**Volume**: 15.551 A^3/atom
**Theoretical density**: 10496 kg/m3
**Formation energy**: -109 meV/atom

2.
VASP calculation (PBE) on a relaxed MnAsSe2N crystal.

POSCAR file:
```
MnAsSe2N
1.0
4.3155 0.0000 0.0000
0.0000 4.3155 0.0000
0.0000 0.0000 4.2035
As Mn Se N
1 1 2 1
Cartesian
0.0000 0.0000 2.1017
2.1577 2.1577 2.1017
0.0000 2.1577 0.0000
2.1577 0.0000 0.0000
0.0000 0.0000 0.0000
```

Results
**Energy relative to the elements, uncorrected**: 1.17 eV per atom
**Total DFT energy (no corrections)**: -23.25 eV for the cell shown
**Volume**: 15.657 A^3/atom
**Theoretical density**: 6401 kg/m3